Crystalline SrLiNd2Au4 at its relaxed geometry, computed with PBE.

Properties
Electronic total energy: -31.719 eV for the cell shown
Space group: R-3m
Magnetization: 0.00 Bohr magnetons per cell

The structure in CIF format:
```
data_SrLiNd2Au4
_chemical_formula_sum 'Sr1 Li1 Nd2 Au4'
_cell_length_a 9.0985
_cell_length_b 9.0985
_cell_length_c 9.0985
_cell_angle_alpha 32.84
_cell_angle_beta 32.84
_cell_angle_gamma 32.84
_symmetry_space_group_name_H-M 'P 1'
_symmetry_Int_Tables_number 1
_symmetry_space_group_name_Hall 'P 1'
loop_
_atom_site_label
_atom_site_type_symbol
_atom_site_fract_x
_atom_site_fract_y
_atom_site_fract_z
Sr1 Sr 0.0000 0.0000 0.0000
Li1 Li 0.5000 0.5000 0.5000
Nd1 Nd 0.2411 0.2411 0.2411
Nd2 Nd 0.7589 0.7589 0.7589
Au1 Au 0.1238 0.1238 0.1238
Au2 Au 0.3885 0.3885 0.3885
Au3 Au 0.6115 0.6115 0.6115
Au4 Au 0.8762 0.8762 0.8762
```